[1]
! CsGaN3 (PBE, relaxed); values from VASP
! Total energy   -2.81 eV per atom
! E_form (uncorrected)   2963 meV per atom
! Fermi-level density of states   0.79 states/eV per atom
! Density   4.832 g cm⁻³
! Space group   Pm-3m
! Spin magnetization   0.94 μB per formula unit
&SYSTEM
  ibrav = 0, nat = 5, ntyp = 3
/
ATOMIC_SPECIES
Cs 132.91 Cs.upf
Ga 69.72 Ga.upf
N 14.01 N.upf
ATOMIC_POSITIONS crystal
Cs 0.000 0.000 0.000
Ga 0.500 0.500 0.500
N 0.000 0.000 0.500
N 0.000 0.500 0.000
N 0.500 0.000 0.000
CELL_PARAMETERS angstrom
4.381 0.000 0.000
0.000 4.381 0.000
0.000 0.000 4.381

=====

[2]
! CeSc4S5 (PBE, relaxed); values from VASP
! Total energy   -7.07 eV per atom
! E_form (uncorrected)   -1877 meV per atom
! Fermi-level density of states   0.89 states/eV per atom
! Density   4.228 g cm⁻³
! Space group   Immm
! Spin magnetization   0.02 μB per formula unit
&SYSTEM
  ibrav = 0, nat = 10, ntyp = 3
/
ATOMIC_SPECIES
Ce 140.12 Ce.upf
Sc 44.96 Sc.upf
S 32.06 S.upf
ATOMIC_POSITIONS crystal
Ce 0.000 0.000 0.000
Sc 0.202 0.202 0.000
Sc 0.402 0.402 0.000
Sc 0.598 0.598 0.000
Sc 0.798 0.798 0.000
S 0.110 0.610 0.500
S 0.301 0.801 0.500
S 0.500 0.000 0.500
S 0.699 0.199 0.500
S 0.890 0.390 0.500
CELL_PARAMETERS angstrom
-1.865 2.679 9.435
1.865 -2.679 9.435
1.865 2.679 -9.435

=====

Q: The highest density belongs to which entry?
A: CsGaN3